{
  "formula": "KCrAs",
  "functional": "PBEsol",
  "state": "optimized geometry",
  "dos_ef_per_ev_fu": 2.003,
  "relative_energy_ev_per_fu": 0.00,
  "delta_e_f_ev_per_atom": 0.537,
  "rho_g_cm3": 3.874,
  "cell": [[-0.6470, -0.2059, -4.6017], [1.2745, -3.8003, -2.3601], [-3.2369, -2.8336, -1.7690]],
  "species": ["As", "Cr", "K"],
  "frac_coords": [[0.5000, 0.5000, 0.5000], [0.2500, 0.2500, 0.2500], [0.0000, 0.0000, 0.0000]]
}